1.
ZnSi2Rh: optimized geometry, PBE-GGA.

a b c (Å): 4.508 4.508 2.949
angles (deg): 90.00 90.00 111.29
Atoms (fractional coordinates):
Zn 0.000 0.000 0.000
Si 0.000 0.500 0.500
Si 0.500 0.000 0.500
Rh 0.500 0.500 0.000

The volume comes out at 55.9 Å³ per cell. Its total magnetic moment is 0.000 μB/f.u. As for the raw formation energy: -0.076 eV/atom.

2.
LaHo2ErCd4: optimized geometry, PBE-GGA.

a b c (Å): 9.288 9.288 9.288
angles (deg): 33.40 33.40 33.40
Atoms (fractional coordinates):
La 0.000 0.000 0.000
Ho 0.249 0.249 0.249
Ho 0.751 0.751 0.751
Er 0.500 0.500 0.500
Cd 0.127 0.127 0.127
Cd 0.379 0.379 0.379
Cd 0.621 0.621 0.621
Cd 0.873 0.873 0.873

The volume comes out at 216.2 Å³ per cell. Its total magnetic moment is 0.298 μB/f.u. The calculation puts the formation energy at -0.31 eV/atom.